(1)
AgBi2RuO6 (PBE-GGA, relaxed); crystal system = trigonal; final energy = -5.8663 eV/atom; calculated volume = 147.2 Å³/cell
1.0
-1.465 2.145 -5.193
-0.554 -3.555 -4.558
-5.547 -1.126 -2.147
O Bi Ag Ru
6 2 1 1
Direct
0.150 0.400 0.768
0.979 0.568 0.225
0.228 0.979 0.225
0.568 0.228 0.225
0.682 0.150 0.768
0.400 0.682 0.768
0.531 0.531 0.406
0.014 0.014 0.959
0.785 0.785 0.646
0.325 0.325 0.024

---

(2)
RbIn4Au2 (PBE-GGA, relaxed); crystal system = orthorhombic; distance to the lowest polymorph of the same formula = 56 meV per atom; final energy = -2.8150 eV/atom; calculated volume = 194.3 Å³/cell
1.0
4.772 0.000 0.000
0.000 4.943 0.000
0.000 -2.471 8.239
Au In Rb
2 4 1
Direct
0.500 0.415 0.830
0.500 0.585 0.170
0.500 0.177 0.354
0.500 0.823 0.646
0.000 0.685 0.371
0.000 0.315 0.629
0.000 0.000 0.000

---

(3)
AcPmTlPd (PBE-GGA, relaxed); crystal system = cubic; final energy = -4.5468 eV/atom; calculated volume = 116.2 Å³/cell
1.0
-4.260 2.331 -2.535
-5.099 -0.993 1.738
-2.856 3.945 2.508
Pd Ac Tl Pm
1 1 1 1
Direct
0.500 0.500 0.500
0.250 0.250 0.250
0.000 0.000 0.000
0.750 0.750 0.750

---

(4)
Nd2EuSn (PBE-GGA, relaxed); crystal system = tetragonal; distance to the lowest polymorph of the same formula = 91 meV per atom; final energy = -6.2783 eV/atom; calculated volume = 128.5 Å³/cell
1.0
4.255 0.000 0.000
0.000 4.255 0.000
0.000 0.000 7.100
Eu Nd Sn
1 2 1
Direct
0.500 0.500 0.500
0.000 0.000 0.220
0.000 0.000 0.780
0.500 0.500 0.000

---

(5)
ZrSiMo2 (PBE-GGA, relaxed); crystal system = orthorhombic; final energy = -8.9818 eV/atom; calculated volume = 66.9 Å³/cell
1.0
2.871 0.012 0.000
-0.913 2.722 0.000
0.000 0.000 8.551
Si Mo Zr
1 2 1
Direct
0.000 0.000 0.484
0.000 0.000 0.015
0.500 0.500 0.261
0.500 0.500 0.740

---

(6)
Zn2PtAu8 (PBE-GGA, relaxed); crystal system = monoclinic; final energy = -3.2413 eV/atom; calculated volume = 189.2 Å³/cell
1.0
4.126 0.000 0.000
0.000 6.618 0.263
-2.063 -2.488 6.828
Au Pt Zn
8 1 2
Direct
0.855 0.796 0.709
0.044 0.730 0.087
0.956 0.270 0.913
0.145 0.204 0.291
0.400 0.541 0.799
0.600 0.459 0.201
0.321 0.086 0.641
0.679 0.914 0.359
0.500 0.000 0.000
0.224 0.652 0.447
0.776 0.348 0.553

---

(7)
MnMo2Ir (PBE-GGA, relaxed); crystal system = tetragonal; distance to the lowest polymorph of the same formula = 102 meV per atom; final energy = -9.8929 eV/atom; calculated volume = 59.4 Å³/cell
1.0
-0.136 3.141 -0.228
-1.674 0.121 2.668
5.061 0.448 3.155
Mn Mo Ir
1 2 1
Direct
0.500 0.500 0.755
0.500 0.500 0.246
0.000 0.000 0.988
0.000 0.000 0.511

---

(8)
Ta2CoB (PBE-GGA, relaxed); crystal system = monoclinic; final energy = -9.4618 eV/atom; calculated volume = 54.8 Å³/cell
1.0
2.956 0.000 0.000
1.478 2.836 0.180
1.478 1.232 6.613
B Co Ta
1 1 2
Direct
0.436 0.228 0.901
0.132 0.941 0.795
0.718 0.433 0.131
0.925 0.660 0.490

---

(9)
K3NdP2S8 (PBE-GGA, relaxed); crystal system = monoclinic; final energy = -4.7799 eV/atom; calculated volume = 1570.6 Å³/cell
1.0
-5.832 -6.489 3.658
3.825 -6.246 -6.445
11.964 -4.365 11.331
S K P Nd
32 12 8 4
Direct
0.463 0.823 0.021
0.025 0.973 0.112
0.216 0.773 0.599
0.537 0.177 0.979
0.784 0.727 0.099
0.318 0.157 0.130
0.025 0.473 0.388
0.975 0.027 0.888
0.902 0.344 0.821
0.098 0.656 0.179
0.566 0.417 0.125
0.340 0.904 0.842
0.077 0.234 0.517
0.098 0.156 0.321
0.463 0.323 0.479
0.902 0.844 0.679
0.975 0.527 0.612
0.434 0.583 0.875
0.923 0.766 0.483
0.434 0.083 0.625
0.537 0.677 0.521
0.660 0.596 0.342
0.923 0.266 0.017
0.340 0.404 0.658
0.682 0.343 0.630
0.566 0.917 0.375
0.216 0.273 0.901
0.682 0.843 0.870
0.660 0.096 0.158
0.784 0.227 0.401
0.318 0.657 0.370
0.077 0.734 0.983
0.730 0.507 0.960
0.871 0.376 0.212
0.871 0.876 0.288
0.613 0.636 0.712
0.387 0.364 0.288
0.129 0.624 0.788
0.387 0.864 0.212
0.730 0.007 0.540
0.613 0.136 0.788
0.270 0.493 0.040
0.129 0.124 0.712
0.270 0.993 0.460
0.000 0.762 0.094
0.000 0.738 0.594
0.476 0.283 0.599
0.000 0.238 0.906
0.524 0.717 0.401
0.476 0.783 0.901
0.000 0.262 0.406
0.524 0.217 0.099
0.237 0.015 0.986
0.237 0.515 0.514
0.763 0.985 0.014
0.763 0.485 0.486

---

(10)
GaPbN2O (PBE-GGA, relaxed); crystal system = tetragonal; final energy = -4.2526 eV/atom; calculated volume = 71.9 Å³/cell
1.0
4.451 0.000 0.000
0.000 3.631 0.000
0.000 0.000 4.451
O Ga N Pb
1 1 2 1
Direct
0.000 0.000 0.000
0.000 0.500 0.000
0.000 0.000 0.500
0.500 0.000 0.000
0.500 0.500 0.500

---

(11)
BeZnRe2 (PBE-GGA, relaxed); crystal system = orthorhombic; final energy = -7.2146 eV/atom; calculated volume = 54.3 Å³/cell
1.0
3.063 0.000 0.000
0.000 4.251 0.000
0.000 0.000 4.173
Re Zn Be
2 1 1
Direct
0.500 0.500 0.000
0.000 0.000 0.000
0.500 0.000 0.500
0.000 0.500 0.500

---

(12)
La2NiBr (PBE-GGA, relaxed); crystal system = monoclinic; distance to the lowest polymorph of the same formula = 0 meV per atom; final energy = -5.2011 eV/atom; calculated volume = 117.6 Å³/cell
1.0
4.099 -0.024 0.002
1.821 3.672 0.002
1.832 1.129 7.793
La Ni Br
2 1 1
Direct
0.006 0.006 0.944
0.494 0.494 0.556
0.750 0.750 0.750
0.250 0.250 0.250

---

(13)
TiSiBr2 (PBE-GGA, relaxed); crystal system = cubic; distance to the lowest polymorph of the same formula = 452 meV per atom; final energy = -3.8917 eV/atom; calculated volume = 77.9 Å³/cell
1.0
0.000 3.390 3.390
3.390 0.000 3.390
3.390 3.390 0.000
Ti Si Br
1 1 2
Direct
0.500 0.500 0.500
0.000 0.000 0.000
0.250 0.250 0.250
0.750 0.750 0.750

---

(14)
NdCuPBr (PBE-GGA, relaxed); crystal system = trigonal; final energy = -5.1769 eV/atom; calculated volume = 199.3 Å³/cell
1.0
4.077 0.000 0.000
2.038 3.531 0.000
2.038 1.177 13.845
P Cu Nd Br
2 2 2 2
Direct
0.630 0.630 0.109
0.370 0.370 0.891
0.312 0.312 0.065
0.688 0.688 0.935
0.926 0.926 0.223
0.074 0.074 0.777
0.213 0.213 0.362
0.787 0.787 0.638

---

(15)
Rb12S5Cl3 (PBE-GGA, relaxed); crystal system = cubic; final energy = -2.9840 eV/atom; calculated volume = 3772.8 Å³/cell
1.0
-10.213 -0.041 13.573
8.897 -14.463 -0.435
10.668 13.182 0.980
S Rb Cl
20 48 12
Direct
0.750 0.625 0.375
0.000 0.500 0.000
0.000 0.000 0.000
0.625 0.875 0.250
0.875 0.250 0.625
0.375 0.125 0.750
0.250 0.875 0.125
0.375 0.250 0.125
0.500 0.500 0.000
0.500 0.500 0.500
0.125 0.375 0.250
0.000 0.500 0.500
0.000 0.000 0.500
0.625 0.750 0.875
0.125 0.750 0.375
0.875 0.625 0.750
0.250 0.375 0.625
0.750 0.125 0.875
0.500 0.000 0.500
0.500 0.000 0.000
0.121 0.407 0.082
0.175 0.082 0.961
0.407 0.286 0.325
0.786 0.325 0.907
0.325 0.786 0.407
0.907 0.082 0.621
0.093 0.175 0.214
0.879 0.593 0.918
0.879 0.286 0.461
0.539 0.214 0.121
0.418 0.379 0.593
0.621 0.582 0.907
0.918 0.825 0.539
0.175 0.093 0.714
0.039 0.418 0.825
0.093 0.918 0.379
0.621 0.039 0.214
0.379 0.961 0.786
0.286 0.879 0.961
0.214 0.675 0.093
0.121 0.714 0.539
0.082 0.175 0.461
0.214 0.539 0.621
0.961 0.379 0.286
0.082 0.907 0.121
0.325 0.539 0.418
0.593 0.879 0.418
0.675 0.214 0.593
0.379 0.418 0.093
0.918 0.093 0.879
0.714 0.593 0.175
0.825 0.918 0.039
0.039 0.621 0.714
0.418 0.039 0.325
0.461 0.675 0.082
0.407 0.121 0.582
0.675 0.461 0.582
0.961 0.582 0.175
0.907 0.825 0.786
0.825 0.907 0.286
0.286 0.407 0.825
0.461 0.786 0.879
0.582 0.961 0.675
0.539 0.325 0.918
0.582 0.621 0.407
0.786 0.461 0.379
0.593 0.714 0.675
0.714 0.121 0.039
0.625 0.375 0.750
0.250 0.125 0.375
0.250 0.625 0.875
0.875 0.750 0.125
0.375 0.750 0.625
0.750 0.375 0.125
0.625 0.250 0.375
0.125 0.250 0.875
0.750 0.875 0.625
0.375 0.625 0.250
0.875 0.125 0.250
0.125 0.875 0.750

---

(16)
P2AuS2 (PBE-GGA, relaxed); crystal system = triclinic; distance to the lowest polymorph of the same formula = 107 meV per atom; final energy = -4.3842 eV/atom; calculated volume = 113.8 Å³/cell
1.0
4.228 0.018 0.007
-0.827 4.879 0.020
-1.946 -0.834 5.506
P Au S
2 1 2
Direct
0.288 0.008 0.942
0.456 0.855 0.594
0.664 0.779 0.226
0.076 0.503 0.436
0.859 0.686 0.858

---

(17)
CaOs2Se (PBE-GGA, relaxed); crystal system = trigonal; final energy = -6.2048 eV/atom; calculated volume = 69.8 Å³/cell
1.0
-8.253 -3.364 1.565
-7.211 -3.259 4.389
-8.445 -0.808 3.147
Os Ca Se
2 1 1
Direct
0.510 0.510 0.510
0.990 0.990 0.990
0.750 0.750 0.750
0.250 0.250 0.250

---

(18)
TcBiSb2I (PBE-GGA, relaxed); crystal system = tetragonal; distance to the lowest polymorph of the same formula = 0 meV per atom; final energy = -4.3032 eV/atom; calculated volume = 150.0 Å³/cell
1.0
5.101 0.000 0.000
0.000 5.101 0.000
0.000 0.000 5.763
Sb Bi I Tc
2 1 1 1
Direct
0.000 0.500 0.000
0.500 0.000 0.000
0.500 0.500 0.500
0.000 0.000 0.500
0.000 0.000 0.000

---

(19)
LiErMgPb (PBE-GGA, relaxed); crystal system = cubic; final energy = -3.1746 eV/atom; calculated volume = 97.7 Å³/cell
1.0
-5.154 -0.189 0.354
-2.875 -0.301 -4.285
-2.509 -4.377 -1.127
Mg Li Pb Er
1 1 1 1
Direct
0.750 0.750 0.750
0.000 0.000 0.000
0.250 0.250 0.250
0.500 0.500 0.500

---

(20)
TaAlOs (PBE-GGA, relaxed); crystal system = hexagonal; final energy = -9.0965 eV/atom; calculated volume = 97.9 Å³/cell
1.0
-2.738 -3.446 1.143
3.127 -0.564 -3.254
3.617 -1.627 3.758
Os Al Ta
2 2 2
Direct
0.333 0.667 0.750
0.667 0.333 0.250
0.000 0.000 0.000
0.000 0.000 0.500
0.667 0.333 0.750
0.333 0.667 0.250

---

(21)
Ta8Nb3Pt2 (PBE-GGA, relaxed); crystal system = monoclinic; final energy = -10.3459 eV/atom; calculated volume = 250.6 Å³/cell
1.0
-4.083 0.121 -3.350
1.133 -6.654 -2.556
-3.744 -5.120 3.444
Ta Pt Nb
8 2 3
Direct
0.931 0.398 0.398
0.528 0.811 0.436
0.773 0.189 0.189
0.069 0.602 0.602
0.472 0.189 0.564
0.227 0.811 0.811
0.472 0.564 0.189
0.528 0.436 0.811
0.748 0.798 0.798
0.252 0.202 0.202
0.000 0.183 0.817
0.000 0.817 0.183
0.500 0.000 0.000